No. 1
Material: HfBO4
Method: DFT, PBE
State: relaxed

a b c (Å): 4.6300 4.6300 8.0394
angles (deg): 90.00 90.00 90.00
Each line ends with the local moment (μB).
Sites, in units of the cell vectors:
Hf (0.0000, 0.0000, 0.0000)  -0.02
Hf (0.0000, 0.0000, 0.5000)  -0.02
B (0.0000, 0.5000, 0.2500)  -0.01
B (0.5000, 0.0000, 0.7500)  -0.01
O (0.3039, 0.1662, 0.8579)  0.22
O (0.6961, 0.8338, 0.8579)  0.22
O (0.1662, 0.3039, 0.3579)  0.22
O (0.3039, 0.8338, 0.6421)  0.22
O (0.6961, 0.1662, 0.6421)  0.22
O (0.1662, 0.6961, 0.1421)  0.22
O (0.8338, 0.3039, 0.1421)  0.22
O (0.8338, 0.6961, 0.3579)  0.22

Total magnetic moment = 2.03 μB per cell
E_tot = -8.396 eV/atom
Formation energy without anion corrections = -2.32 eV/atom
Calculated density = 4.9 g/cm3


No. 2
Material: Hf2BO
Method: DFT, PBE
State: relaxed

a b c (Å): 4.9326 4.9326 6.2753
angles (deg): 66.86 66.86 90.00
Sites, in units of the cell vectors:
B (0.5000, 0.5000, 0.0000)
B (0.2500, 0.7500, 0.5000)
Hf (0.6412, 0.1250, 0.2500)
Hf (0.1088, 0.6250, 0.2500)
Hf (0.3750, 0.3588, 0.7500)
Hf (0.8750, 0.8912, 0.7500)
O (0.0000, 0.0000, 0.0000)
O (0.7500, 0.2500, 0.5000)

Total magnetic moment = 0.00 μB per cell
E_tot = -9.102 eV/atom
Formation energy without anion corrections = -1.22 eV/atom
E above lowest polymorph = 0.830 eV per formula unit
Calculated density = 10.0 g/cm3


No. 3
Material: Hf3BO
Method: DFT, PBE
State: relaxed

a b c (Å): 5.5133 5.5133 6.7792
angles (deg): 66.01 66.01 60.00
Sites, in units of the cell vectors:
Hf (0.2508, 0.9206, 0.2496)
Hf (0.9206, 0.5790, 0.2496)
Hf (0.5790, 0.2508, 0.2496)
Hf (0.7492, 0.4210, 0.7504)
Hf (0.0794, 0.7492, 0.7504)
Hf (0.4210, 0.0794, 0.7504)
B (0.1654, 0.1654, 0.5037)
B (0.8346, 0.8346, 0.4963)
O (0.3356, 0.3356, 0.9931)
O (0.6644, 0.6644, 0.0069)

Total magnetic moment = 0.00 μB per cell
E_tot = -9.022 eV/atom
Formation energy without anion corrections = -0.72 eV/atom
E above lowest polymorph = 0.000 eV per formula unit
Calculated density = 11.9 g/cm3


No. 4
Material: HfB2O
Method: DFT, PBE
State: relaxed

a b c (Å): 5.2858 5.2858 4.8623
angles (deg): 57.07 57.07 90.00
Sites, in units of the cell vectors:
B (0.5126, 0.1250, 0.2500)
B (0.2374, 0.6250, 0.2500)
B (0.3750, 0.4874, 0.7500)
B (0.8750, 0.7626, 0.7500)
Hf (0.0000, 0.0000, 0.0000)
Hf (0.7500, 0.2500, 0.5000)
O (0.5000, 0.5000, 0.0000)
O (0.2500, 0.7500, 0.5000)

Total magnetic moment = 0.00 μB per cell
E_tot = -6.880 eV/atom
Formation energy without anion corrections = 0.19 eV/atom
Calculated density = 8.3 g/cm3